VASP calculation (PBE) on a relaxed Re3Ag crystal.

Lattice parameters (Å, degrees): 5.588 5.588 5.588 150.39 130.92 58.37
Fractional coordinates of all 4 atoms:
Re  0.721  0.221  0.500
Re  0.279  0.779  0.500
Re  0.500  0.500  0.000
Ag  0.000  0.000  0.000

As for the space-group type: Immm, No. 71. The calculation puts the energy relative to the elements at 2.46 eV per formula unit. As for the energy: -9.4348 eV/atom. The value obtained for the distance to the lowest polymorph of the same formula is 0.3378 eV per atom.

***

VASP calculation (PBE) on a relaxed Se3Br crystal.

Lattice parameters (Å, degrees): 5.581 5.581 8.509 49.13 49.13 37.86
Fractional coordinates of all 4 atoms:
Se  0.235  0.235  0.388
Se  0.765  0.765  0.612
Se  0.500  0.500  0.500
Br  0.000  0.000  0.000

The formation energy without anion corrections comes out at 221 meV per atom. As for the space-group type: C2/m, No. 12. As for the energy: -2.8103 eV/atom. The value obtained for the distance to the lowest polymorph of the same formula is 0.1679 eV per atom.

***

VASP calculation (PBE) on a relaxed TlSi2Ag crystal.

Lattice parameters (Å, degrees): 2.895 2.895 9.834 90.00 90.00 92.26
Fractional coordinates of all 4 atoms:
Ag  0.500  0.500  0.750
Tl  0.500  0.500  0.250
Si  0.000  0.000  0.954
Si  0.000  0.000  0.546

The formation energy without anion corrections comes out at 496 meV per atom. As for the space-group type: Cmmm, No. 65. As for the energy: -3.5201 eV/atom. The value obtained for the distance to the lowest polymorph of the same formula is 0.2312 eV per atom.

***

VASP calculation (PBE) on a relaxed La2Nd3ScSe6 crystal.

Lattice parameters (Å, degrees): 4.190 8.466 9.389 103.02 102.89 90.00
Fractional coordinates of all 12 atoms:
Nd  0.171  0.836  0.342
Nd  0.829  0.164  0.658
Nd  0.500  0.500  0.000
Se  0.004  0.771  0.007
Se  0.343  0.924  0.686
Se  0.666  0.587  0.332
Se  0.996  0.229  0.993
Se  0.334  0.413  0.668
Se  0.657  0.076  0.314
Sc  0.500  0.000  0.000
La  0.835  0.667  0.670
La  0.165  0.333  0.330

The formation energy without anion corrections comes out at -1827 meV per atom. As for the space-group type: C2/m, No. 12. As for the energy: -6.1099 eV/atom.

***

Please write out number 2 again, unchanged.
VASP calculation (PBE) on a relaxed Se3Br crystal.

Lattice parameters (Å, degrees): 5.581 5.581 8.509 49.13 49.13 37.86
Fractional coordinates of all 4 atoms:
Se  0.235  0.235  0.388
Se  0.765  0.765  0.612
Se  0.500  0.500  0.500
Br  0.000  0.000  0.000

The formation energy without anion corrections comes out at 221 meV per atom. As for the space-group type: C2/m, No. 12. As for the energy: -2.8103 eV/atom. The value obtained for the distance to the lowest polymorph of the same formula is 0.1679 eV per atom.